1.
Here is an optimized crystal structure of ZnRe2TcO from Alexandria. Energies are from PBE. Values from VASP.

The structure in Quantum ESPRESSO input format:
```
&SYSTEM
  ibrav = 0, nat = 5, ntyp = 4
/
ATOMIC_SPECIES
Re 186.21 Re.upf
Tc 98.00 Tc.upf
O 16.00 O.upf
Zn 65.41 Zn.upf
CELL_PARAMETERS angstrom
-0.5203 -2.4518 4.1317
3.2035 -1.7127 -0.6129
2.3288 3.5064 2.3739
ATOMIC_POSITIONS angstrom
Re 1.1644 1.7532 1.1870
Tc 0.0000 0.0000 0.0000
O 1.6018 -0.8564 -0.3065
Zn 2.5060 -0.3291 2.9464
Re -0.2601 -1.2259 2.0659
```

Results
Formation energy (no corrections), eV per atom: 1.252

---

2.
Here is an optimized crystal structure of ReTeO3 from Alexandria. Energies are from PBE. Values from VASP.

The structure in Quantum ESPRESSO input format:
```
&SYSTEM
  ibrav = 0, nat = 5, ntyp = 3
/
ATOMIC_SPECIES
Te 127.60 Te.upf
O 16.00 O.upf
Re 186.21 Re.upf
CELL_PARAMETERS angstrom
-3.7809 -0.8270 -0.9023
-0.6159 -1.2459 3.7231
-1.0577 3.6820 1.0572
ATOMIC_POSITIONS angstrom
Te -2.7272 0.8045 1.9390
O -0.5288 1.8410 0.5286
O -1.8904 -0.4135 -0.4511
O -0.3080 -0.6230 1.8616
Re 0.0000 0.0000 0.0000
```

Results
Formation energy (no corrections), eV per atom: -0.488

---

Which value of formation energy (no corrections) does entry 2 give?
-0.488 eV per atom